P) VASP calculation (PBE) on a geometry-optimized In3SeI structure.

Cell and atoms, written as CIF:
```
data_In3SeI
_symmetry_space_group_name_H-M 'P m -3 m'
_symmetry_Int_Tables_number 221
_symmetry_space_group_name_Hall '-P 4 2 3'
_cell_length_a 5.968
_cell_length_b 5.968
_cell_length_c 5.968
_cell_angle_alpha 90.00
_cell_angle_beta 90.00
_cell_angle_gamma 90.00
loop_
_atom_site_label
_atom_site_type_symbol
_atom_site_fract_x
_atom_site_fract_y
_atom_site_fract_z
In1 In 0.000 0.000 0.500
Se1 Se 0.000 0.000 0.000
I1 I 0.500 0.500 0.500
```

Q) VASP calculation (PBE) on a geometry-optimized In3SeI structure.

Cell and atoms, written as CIF:
```
data_In3SeI
_symmetry_space_group_name_H-M 'P 1 21/m 1'
_symmetry_Int_Tables_number 11
_cell_length_a 8.869
_cell_length_b 4.436
_cell_length_c 9.370
_cell_angle_alpha 90.00
_cell_angle_beta 97.14
_cell_angle_gamma 90.00
loop_
_symmetry_equiv_pos_as_xyz
'x,y,z'
'-x,-y,-z'
'-x,y+1/2,-z'
'x,-y+1/2,z'
loop_
_atom_site_label
_atom_site_type_symbol
_atom_site_fract_x
_atom_site_fract_y
_atom_site_fract_z
In1 In 0.022 0.250 0.359
In2 In 0.309 0.750 0.510
In3 In 0.440 0.750 0.113
Se1 Se 0.402 0.250 0.320
I1 I 0.176 0.250 0.829
```

Stability order, top to bottom: Q), P)